1.
DFT (PBE-GGA) results for a relaxed structure of ThPdPt.

Unit cell a=5.5301 b=5.5301 c=5.8284 alpha=90.00 beta=90.00 gamma=134.47
Positions (direct):
Th1 0.1707 0.8293 0.7500
Th2 0.8293 0.1707 0.2500
Pd1 0.5000 0.5000 0.0000
Pd2 0.5000 0.5000 0.5000
Pt1 0.1285 0.8715 0.2500
Pt2 0.8715 0.1285 0.7500

Results
Spin magnetization: 0.00 Bohr magnetons per cell
Energy relative to the elements: -1.11 eV/atom
E above lowest polymorph: 6 meV/atom

---

2.
DFT (PBE-GGA) results for a relaxed structure of Th3Pd12Pt4.

Unit cell a=8.5019 b=8.5019 c=8.5019 alpha=109.47 beta=109.47 gamma=109.47
Positions (direct):
Th1 0.0000 0.5000 0.5000
Th2 0.5000 0.0000 0.5000
Th3 0.5000 0.5000 0.0000
Pd1 0.0792 0.7329 0.3463
Pd2 0.2671 0.3463 0.6134
Pd3 0.2671 0.6537 0.9208
Pd4 0.3463 0.0792 0.7329
Pd5 0.3463 0.6134 0.2671
Pd6 0.3866 0.7329 0.6537
Pd7 0.6134 0.2671 0.3463
Pd8 0.6537 0.3866 0.7329
Pd9 0.6537 0.9208 0.2671
Pd10 0.7329 0.3463 0.0792
Pd11 0.7329 0.6537 0.3866
Pd12 0.9208 0.2671 0.6537
Pt1 0.0000 0.0000 0.5000
Pt2 0.0000 0.5000 0.0000
Pt3 0.5000 0.0000 0.0000
Pt4 0.5000 0.5000 0.5000

Results
Spin magnetization: 0.00 Bohr magnetons per cell
Energy relative to the elements: -0.15 eV/atom

---

3.
DFT (PBE-GGA) results for a relaxed structure of Th4Pd6Pt7.

Unit cell a=7.5201 b=7.5201 c=7.5201 alpha=109.47 beta=109.47 gamma=109.47
Positions (direct):
Th1 0.0000 0.0000 0.5000
Th2 0.0000 0.5000 0.0000
Th3 0.5000 0.0000 0.0000
Th4 0.5000 0.5000 0.5000
Pd1 0.0000 0.3016 0.3016
Pd2 0.0000 0.6984 0.6984
Pd3 0.3016 0.0000 0.3016
Pd4 0.3016 0.3016 0.0000
Pd5 0.6984 0.0000 0.6984
Pd6 0.6984 0.6984 0.0000
Pt1 0.0000 0.0000 0.0000
Pt2 0.2500 0.5000 0.7500
Pt3 0.2500 0.7500 0.5000
Pt4 0.5000 0.2500 0.7500
Pt5 0.5000 0.7500 0.2500
Pt6 0.7500 0.2500 0.5000
Pt7 0.7500 0.5000 0.2500

Results
Spin magnetization: 0.00 Bohr magnetons per cell
Energy relative to the elements: -0.90 eV/atom